Computed, not measured: a relaxed CaTb2Dy7 crystal at the PBE level of DFT.

* energy of formation from the pure elements: 0.53 eV per formula unit
* total energy: -4.29 eV/atom
* total magnetic moment: 0.000 Bohr magnetons per cell

Cell: 6.1775 6.1807 9.4523 Å, 70.93 71.09 80.36°
Fractional positions:
Ca1 0.0000 0.0000 0.0000
Tb1 0.1002 0.4921 0.3032
Tb2 0.8998 0.5079 0.6968
Dy1 0.2040 0.9989 0.5946
Dy2 0.3122 0.4986 0.8967
Dy3 0.3955 0.0000 0.2056
Dy4 0.5000 0.5000 0.5000
Dy5 0.6045 0.0000 0.7944
Dy6 0.6878 0.5014 0.1033
Dy7 0.7960 0.0011 0.4054